# 1
Here is an optimized crystal structure of Tm6SnTe2 from Alexandria via LeMat-Bulk. Energies are from PBE-GGA.

Cell lengths 5.880, 6.752, 7.788 Å; angles 80.02, 67.82, 64.19 degrees
Fractional positions:
Tm  0.678  0.774  0.870
Tm  0.322  0.226  0.130
Tm  0.966  0.866  0.203
Tm  0.396  0.779  0.429
Tm  0.034  0.134  0.797
Tm  0.604  0.221  0.571
Sn  0.000  0.500  0.500
Te  0.273  0.613  0.841
Te  0.727  0.387  0.159

Calculated values
**Volume**: 28.64 A^3/atom
**Energy relative to the elements, uncorrected**: -0.5888 eV/atom
**M_tot**: 0.00 μB/f.u.

---

# 2
Here is an optimized crystal structure of CrCuHg2 from Alexandria via LeMat-Bulk. Energies are from PBE-GGA.

Cell lengths 4.662, 4.662, 4.662 Å; angles 60.00, 60.00, 60.00 degrees
Fractional positions:
Cr  0.000  0.000  0.000
Hg  0.250  0.250  0.250
Hg  0.750  0.750  0.750
Cu  0.500  0.500  0.500

Calculated values
**Volume**: 17.91 A^3/atom
**ΔE to the lowest computed polymorph**: 0.0 meV/atom
**M_tot**: 3.87 μB/f.u.
**Energy relative to the elements**: 0.335 eV per atom